This record from Alexandria describes crystalline SbI2Br3F6 at its relaxed geometry. The functional is PBE-GGA.

Cell: 14.224 7.997 5.700 Å, 90.00 97.32 90.00°
Space group C2/m (No. 12)
One atom of each set of equivalent atoms:
Sb  0.000  0.000  0.000 [2 per cell]
I  0.177  0.500  0.744 [4 per cell]
Br  0.000  0.500  0.500 [2 per cell]
Br  0.250  0.250  0.500 [4 per cell]
F  0.064  0.000  0.315 [4 per cell]
F  0.087  0.171  0.920 [8 per cell]

Computed properties:
D(E_F)	0.000	states/eV per atom
E_form (uncorrected)	-1.3345	eV/atom
mass density	3.77	Mg/m³